A plane-wave DFT calculation with GGA-PBE was carried out for LuZrFeOs after structural relaxation.

Formation energy from the elements (eV per atom): -0.24
SG: F-43m, No. 216

abc: 4.6192 4.6192 4.6192
angles: 60.00 60.00 60.00
Last column: nearest neighbours and their distance in Å.
Positions (direct):
Os  0.2500  0.2500  0.2500  4 Zr 2.83, 4 Lu 2.83
Lu  0.0000  0.0000  0.0000  4 Fe 2.83, 4 Os 2.83
Zr  0.5000  0.5000  0.5000  4 Os 2.83, 4 Fe 2.83
Fe  0.7500  0.7500  0.7500  4 Zr 2.83, 4 Lu 2.83